Density functional theory data (PBE) for a geometry-optimized CeAl3GaAg structure.

Results
formation enthalpy at 0 K = -0.01 eV per atom
total DFT energy (no corrections) = -92.37 eV per cell
theoretical density = 4.66 g/cm3

a b c (Å): 5.950 16.615 5.748
angles (deg): 90.00 90.00 90.00
Space group Cmcm (No. 63)
Inequivalent atoms, fractional coordinates:
Ce 0.000 0.169 0.250 x4
Al 0.000 0.254 0.750 x4
Al 0.238 0.000 0.000 x8
Ga 0.000 0.102 0.750 x4
Ag 0.000 0.407 0.750 x4